Record 1
Fe2AsOs after structural relaxation. Source: Alexandria, functional PBE.

a = 3.9190 Å, b = 3.6786 Å, c = 3.6786 Å
α = 90.00°, β = 90.00°, γ = 90.00°
With the nearest neighbours (Å) after each atom.
Fractional positions:
1 Fe 0.0000 0.0000 0.0000  4 Fe 2.60, 4 As 2.69, 4 Os 2.69
2 Os 0.5000 0.5000 0.0000  4 As 2.60, 8 Fe 2.69
3 Fe 0.0000 0.5000 0.5000  4 Fe 2.60, 4 As 2.69, 4 Os 2.69
4 As 0.5000 0.0000 0.5000  4 Os 2.60, 8 Fe 2.69

## Properties
Formation enthalpy at 0 K, meV/atom: 257
Final energy, eV per atom: -7.94



Record 2
PrErPuSn after structural relaxation. Source: Alexandria, functional PBE.

a = 5.4745 Å, b = 5.4745 Å, c = 5.4745 Å
α = 60.00°, β = 60.00°, γ = 60.00°
With the nearest neighbours (Å) after each atom.
Fractional positions:
1 Sn 0.2500 0.2500 0.2500  4 Pu 3.35, 4 Pr 3.35
2 Er 0.7500 0.7500 0.7500  4 Pr 3.35, 4 Pu 3.35
3 Pu 0.0000 0.0000 0.0000  4 Er 3.35, 4 Sn 3.35
4 Pr 0.5000 0.5000 0.5000  4 Sn 3.35, 4 Er 3.35

## Properties
Formation enthalpy at 0 K, meV/atom: -123
Final energy, eV per atom: -7.04



Record 3
Pr2SnTe3 after structural relaxation. Source: Alexandria, functional PBE.

a = 3.9506 Å, b = 5.7672 Å, c = 9.5287 Å
α = 107.62°, β = 101.96°, γ = 90.00°
With the nearest neighbours (Å) after each atom.
Fractional positions:
1 Pr 0.6465 0.6465 0.2930  7 Te 3.18-3.53
2 Te 0.0000 0.5000 0.0000  2 Sn 2.88
3 Sn 0.0000 0.0000 0.0000  4 Te 2.88-3.09
4 Te 0.1743 0.1743 0.3485  1 Sn 3.09, 1 Pr 3.18
5 Te 0.8257 0.8257 0.6515  1 Sn 3.09, 1 Pr 3.18
6 Pr 0.3535 0.3535 0.7070  7 Te 3.18-3.53

## Properties
ΔE_f (raw), eV per formula unit: -5.23
Final energy, eV per atom: -4.70